Entry 1:
# PW3I

PW3I after structural relaxation (PBEsol, Alexandria).

Cell and atoms, written as POSCAR:
```
PW3I
1.0
4.817 0.000 0.000
0.000 4.817 0.000
0.000 0.000 4.817
P W I
1 3 1
direct
0.000 0.000 0.000
0.000 0.500 0.500
0.500 0.000 0.500
0.500 0.500 0.000
0.500 0.500 0.500
```

Calculated values
Its raw total energy is -6.664 eV per atom. The space group is Pm-3m (221). As for the total magnetic moment: 0.00 μB/f.u.

***

Entry 2:
# P3WI

P3WI after structural relaxation (PBEsol, Alexandria).

Cell and atoms, written as POSCAR:
```
P3WI
1.0
4.864 0.000 0.000
0.000 4.864 0.000
0.000 0.000 4.864
P W I
3 1 1
direct
0.000 0.000 0.500
0.000 0.500 0.000
0.500 0.000 0.000
0.500 0.500 0.500
0.000 0.000 0.000
```

Calculated values
Its raw total energy is -4.210 eV per atom. The space group is Pm-3m (221). As for the total magnetic moment: 2.41 μB/f.u.

***

Entry 3:
# Zn2PI

Zn2PI after structural relaxation (PBEsol, Alexandria).

Cell and atoms, written as POSCAR:
```
Zn2PI
1.0
-2.935 2.935 5.786
2.935 -2.935 5.786
2.935 2.935 -5.786
Zn P I
4 2 2
direct
0.041 0.625 0.916
0.375 0.291 0.416
0.709 0.125 0.084
0.875 0.959 0.584
0.000 0.000 0.000
0.750 0.250 0.500
0.250 0.750 0.500
0.500 0.500 0.000
```

Calculated values
Its raw total energy is -2.987 eV per atom. The space group is I-42d (122). As for the total magnetic moment: 0.00 μB/f.u.

***

Entry 4:
# ZrP2I

ZrP2I after structural relaxation (PBEsol, Alexandria).

Cell and atoms, written as POSCAR:
```
ZrP2I
1.0
-2.982 2.982 6.670
2.982 -2.982 6.670
2.982 2.982 -6.670
Zr P I
2 4 2
direct
0.000 0.000 0.000
0.750 0.250 0.500
0.058 0.625 0.933
0.375 0.308 0.433
0.692 0.125 0.067
0.875 0.942 0.567
0.250 0.750 0.500
0.500 0.500 0.000
```

Calculated values
Its raw total energy is -5.305 eV per atom. The space group is I-42d (122). As for the total magnetic moment: 0.00 μB/f.u.

***

Entry 5:
# Zr6PI14

Zr6PI14 after structural relaxation (PBEsol, Alexandria).

Cell and atoms, written as POSCAR:
```
Zr6PI14
1.0
7.916 -7.081 0.000
7.916 7.081 0.000
0.000 0.000 12.788
Zr P I
12 2 28
direct
0.044 0.179 0.885
0.143 0.857 0.893
0.179 0.044 0.115
0.321 0.456 0.615
0.357 0.643 0.393
0.456 0.321 0.385
0.544 0.679 0.615
0.643 0.357 0.607
0.679 0.544 0.385
0.821 0.956 0.885
0.857 0.143 0.107
0.956 0.821 0.115
0.000 0.000 0.000
0.500 0.500 0.500
0.036 0.217 0.254
0.095 0.405 0.750
0.119 0.629 0.008
0.129 0.619 0.508
0.156 0.844 0.270
0.217 0.036 0.746
0.246 0.246 0.500
0.254 0.254 0.000
0.283 0.464 0.246
0.344 0.656 0.770
0.371 0.881 0.008
0.381 0.871 0.508
0.405 0.095 0.250
0.464 0.283 0.754
0.536 0.717 0.246
0.595 0.905 0.750
0.619 0.129 0.492
0.629 0.119 0.992
0.656 0.344 0.230
0.717 0.536 0.754
0.746 0.746 0.000
0.754 0.754 0.500
0.783 0.964 0.254
0.844 0.156 0.730
0.871 0.381 0.492
0.881 0.371 0.992
0.905 0.595 0.250
0.964 0.783 0.746
```

Calculated values
Its raw total energy is -5.108 eV per atom. The space group is Cmce (64). As for the total magnetic moment: 0.00 μB/f.u.

***

Entry 6:
# Pd3PbI

Pd3PbI after structural relaxation (PBEsol, Alexandria).

Cell and atoms, written as POSCAR:
```
Pd3PbI
1.0
5.031 0.000 0.000
0.000 5.031 0.000
0.000 0.000 5.031
Pd Pb I
3 1 1
direct
0.000 0.000 0.500
0.000 0.500 0.000
0.500 0.000 0.000
0.000 0.000 0.000
0.500 0.500 0.500
```

Calculated values
Its raw total energy is -4.014 eV per atom. The space group is Pm-3m (221). As for the total magnetic moment: 0.00 μB/f.u.

***

Entry 7:
# PdPb3I

PdPb3I after structural relaxation (PBEsol, Alexandria).

Cell and atoms, written as POSCAR:
```
PdPb3I
1.0
5.363 0.000 0.000
0.000 5.363 0.000
0.000 0.000 5.363
Pd Pb I
1 3 1
direct
0.000 0.000 0.000
0.000 0.000 0.500
0.000 0.500 0.000
0.500 0.000 0.000
0.500 0.500 0.500
```

Calculated values
Its raw total energy is -3.937 eV per atom. The value obtained for the offset from the most stable computed form is 0.000 eV/atom. The space group is Pm-3m (221). As for the total magnetic moment: 0.00 μB/f.u.

***

Entry 8:
# Sb2PdPbI

Sb2PdPbI after structural relaxation (PBEsol, Alexandria).

Cell and atoms, written as POSCAR:
```
Sb2PdPbI
1.0
5.165 0.000 0.000
0.000 5.165 0.000
0.000 0.000 5.498
Sb Pd Pb I
2 1 1 1
direct
0.000 0.500 0.000
0.500 0.000 0.000
0.000 0.000 0.000
0.500 0.500 0.500
0.000 0.000 0.500
```

Calculated values
Its raw total energy is -3.950 eV per atom. The space group is P4/mmm (123). As for the total magnetic moment: 0.01 μB/f.u.

***

Entry 9:
# ScPt2PbI

ScPt2PbI after structural relaxation (PBEsol, Alexandria).

Cell and atoms, written as POSCAR:
```
ScPt2PbI
1.0
4.914 0.000 0.000
0.000 4.914 0.000
0.000 0.000 5.391
Sc Pt Pb I
1 2 1 1
direct
0.000 0.000 0.000
0.000 0.500 0.000
0.500 0.000 0.000
0.500 0.500 0.500
0.000 0.000 0.500
```

Calculated values
Its raw total energy is -5.041 eV per atom. The space group is P4/mmm (123). As for the total magnetic moment: 0.00 μB/f.u.

***

Entry 10:
# Ru2RhPbI

Ru2RhPbI after structural relaxation (PBEsol, Alexandria).

Cell and atoms, written as POSCAR:
```
Ru2RhPbI
1.0
4.700 0.000 0.000
0.000 4.700 0.000
0.000 0.000 5.714
Ru Rh Pb I
2 1 1 1
direct
0.000 0.500 0.000
0.500 0.000 0.000
0.000 0.000 0.500
0.500 0.500 0.500
0.500 0.500 0.000
```

Calculated values
Its raw total energy is -4.720 eV per atom. The space group is P4/mmm (123). As for the total magnetic moment: 2.38 μB/f.u.

***

Entry 11:
# Sb2RhPbI

Sb2RhPbI after structural relaxation (PBEsol, Alexandria).

Cell and atoms, written as POSCAR:
```
Sb2RhPbI
1.0
5.062 0.000 0.000
0.000 5.062 0.000
0.000 0.000 5.556
Sb Rh Pb I
2 1 1 1
direct
0.000 0.500 0.000
0.500 0.000 0.000
0.000 0.000 0.000
0.500 0.500 0.500
0.000 0.000 0.500
```

Calculated values
Its raw total energy is -4.386 eV per atom. The space group is P4/mmm (123). As for the total magnetic moment: 0.00 μB/f.u.

***

Entry 12:
# SbPb2S2I3

SbPb2S2I3 after structural relaxation (PBEsol, Alexandria).

Cell and atoms, written as POSCAR:
```
SbPb2S2I3
1.0
7.352 0.000 0.000
0.000 16.303 0.000
-2.488 0.000 8.202
Sb Pb S I
4 8 8 12
direct
0.211 0.021 0.179
0.211 0.479 0.679
0.789 0.521 0.321
0.789 0.979 0.821
0.121 0.736 0.165
0.121 0.764 0.665
0.263 0.033 0.693
0.263 0.467 0.193
0.737 0.533 0.807
0.737 0.967 0.307
0.879 0.236 0.335
0.879 0.264 0.835
0.037 0.087 0.905
0.037 0.413 0.405
0.039 0.077 0.369
0.039 0.423 0.869
0.961 0.577 0.131
0.961 0.923 0.631
0.963 0.587 0.595
0.963 0.913 0.095
0.203 0.243 0.671
0.203 0.257 0.171
0.373 0.619 0.967
0.373 0.881 0.467
0.400 0.621 0.470
0.400 0.879 0.970
0.600 0.121 0.030
0.600 0.379 0.530
0.627 0.119 0.533
0.627 0.381 0.033
0.797 0.743 0.829
0.797 0.757 0.329
```

Calculated values
Its raw total energy is -3.823 eV per atom. The value obtained for the offset from the most stable computed form is 0.000 eV/atom. The space group is P2_1/c (14). As for the total magnetic moment: 0.00 μB/f.u.

***

Going through the records in order, we get energy relative to the elements, uncorrected values of 3.132; 2.380; -0.306; 0.305; -1.057; 0.714; 0.007; 0.218; 0.219; 2.129; 0.217; -0.495 eV/atom.